The following is a PBE-GGA calculation of crystalline Li2PrDy2Pb2 at its relaxed geometry, from Alexandria.

As for the energy of formation: -0.335 eV/atom. Its density of states at the Fermi level is 12.84 states/eV per cell. The magnetic moment is 0.0 μB per formula unit. The uncorrected energy is -0.14477 Ha/atom.

The structure belongs to space group R-3m (No. 166, hexagonal axes); the cell edges are 4.8828, 4.8828 and 27.1959 Å and the angles 90.00°, 90.00° and 120.00°. The inequivalent atoms are Li at (0.0000, 0.0000, 0.0874), Pr at (0.0000, 0.0000, 0.5000), Dy at (0.0000, 0.0000, 0.3694) and Pb at (0.0000, 0.0000, 0.2394).